# Zr4Ni2H9 | the Alexandria database | SCAN | PBEsol geometry
data_Zr4Ni2H9
_space_group_name_H-M_alt 'P 1'
_space_group_IT_number 1
_cell_length_a 5.525
_cell_length_b 5.541
_cell_length_c 8.753
_cell_angle_alpha 82.06
_cell_angle_beta 82.29
_cell_angle_gamma 74.81
loop_
_space_group_symop_operation_xyz
'x,y,z'
loop_
_atom_site_label
_atom_site_fract_x
_atom_site_fract_y
_atom_site_fract_z
H1 0.491 0.242 0.251
H2 0.123 0.873 0.621
H3 0.833 0.773 0.365
H4 0.622 0.288 0.004
H5 0.501 0.748 0.502
H6 0.873 0.383 0.123
H7 0.167 0.227 0.635
H8 0.927 0.599 0.701
H9 0.848 0.928 0.942
H10 0.378 0.712 0.996
H11 0.348 0.255 0.859
H12 0.652 0.745 0.141
H13 0.877 0.127 0.379
H14 0.073 0.401 0.299
H15 0.127 0.617 0.877
H16 0.499 0.252 0.498
H17 0.152 0.072 0.058
H18 0.509 0.758 0.749
Ni1 0.873 0.374 0.625
Ni2 0.650 0.149 0.848
Ni3 0.127 0.626 0.375
Ni4 0.350 0.851 0.152
Zr1 0.748 0.925 0.580
Zr2 0.251 0.399 0.080
Zr3 0.749 0.601 0.920
Zr4 0.822 0.015 0.167
Zr5 0.178 0.985 0.833
Zr6 0.252 0.075 0.420
Zr7 0.335 0.504 0.662
Zr8 0.665 0.496 0.338
# - Total DFT energy (no corrections): -12.944 eV/atom